[1]
{
  "formula": "LaGd2Sn2Pb5",
  "functional": "GGA-PBE",
  "state": "relaxed",
  "lattice_angstrom": [[2.362, -12.900, 0.000], [2.362, 12.900, 0.000], [0.000, 0.000, 4.709]],
  "species": ["La", "Gd", "Gd", "Sn", "Sn", "Pb", "Pb", "Pb", "Pb", "Pb"],
  "fractional_positions": [[0.000, 0.000, 0.000], [0.187, 0.813, 0.000], [0.813, 0.187, 0.000], [0.099, 0.901, 0.500], [0.901, 0.099, 0.500], [0.294, 0.706, 0.500], [0.402, 0.598, 0.000], [0.500, 0.500, 0.500], [0.598, 0.402, 0.000], [0.706, 0.294, 0.500]],
  "m_tot_mub_per_cell": 0.01,
  "space_group": "Cmmm (65)",
  "vol_a3_per_atom": 28.69,
  "e_tot_ev_per_atom": -4.5430,
  "e_above_lowest_polymorph_mev_per_atom": 6.4
}

=====

[2]
{
  "formula": "LaGd2Sn5Pb2",
  "functional": "GGA-PBE",
  "state": "relaxed",
  "lattice_angstrom": [[2.329, -12.767, 0.000], [2.329, 12.767, 0.000], [0.000, 0.000, 4.674]],
  "species": ["La", "Gd", "Gd", "Sn", "Sn", "Sn", "Sn", "Sn", "Pb", "Pb"],
  "fractional_positions": [[0.000, 0.000, 0.000], [0.190, 0.810, 0.000], [0.810, 0.190, 0.000], [0.100, 0.900, 0.500], [0.292, 0.708, 0.500], [0.500, 0.500, 0.500], [0.708, 0.292, 0.500], [0.900, 0.100, 0.500], [0.401, 0.599, 0.000], [0.599, 0.401, 0.000]],
  "m_tot_mub_per_cell": 0.00,
  "space_group": "Cmmm (65)",
  "vol_a3_per_atom": 27.79,
  "e_tot_ev_per_atom": -4.7060,
  "e_above_lowest_polymorph_mev_per_atom": 0.0
}

=====

[3]
{
  "formula": "LaGd2Sn4Pb3",
  "functional": "GGA-PBE",
  "state": "relaxed",
  "lattice_angstrom": [[2.310, -12.836, 0.000], [2.310, 12.836, 0.000], [0.000, 0.000, 4.744]],
  "species": ["La", "Gd", "Gd", "Sn", "Sn", "Sn", "Sn", "Pb", "Pb", "Pb"],
  "fractional_positions": [[0.000, 0.000, 0.000], [0.190, 0.810, 0.000], [0.810, 0.190, 0.000], [0.291, 0.709, 0.500], [0.400, 0.600, 0.000], [0.600, 0.400, 0.000], [0.709, 0.291, 0.500], [0.101, 0.899, 0.500], [0.500, 0.500, 0.500], [0.899, 0.101, 0.500]],
  "m_tot_mub_per_cell": 0.00,
  "space_group": "Cmmm (65)",
  "vol_a3_per_atom": 28.13,
  "e_tot_ev_per_atom": -4.6535,
  "e_above_lowest_polymorph_mev_per_atom": 0.8
}

=====

[4]
{
  "formula": "LaGd2Sn4Pb3",
  "functional": "GGA-PBE",
  "state": "relaxed",
  "lattice_angstrom": [[2.337, -12.818, 0.000], [2.337, 12.818, 0.000], [0.000, 0.000, 4.698]],
  "species": ["La", "Gd", "Gd", "Sn", "Sn", "Sn", "Sn", "Pb", "Pb", "Pb"],
  "fractional_positions": [[0.000, 0.000, 0.000], [0.185, 0.815, 0.000], [0.815, 0.185, 0.000], [0.098, 0.902, 0.500], [0.402, 0.598, 0.000], [0.598, 0.402, 0.000], [0.902, 0.098, 0.500], [0.294, 0.706, 0.500], [0.500, 0.500, 0.500], [0.706, 0.294, 0.500]],
  "m_tot_mub_per_cell": 0.01,
  "space_group": "Cmmm (65)",
  "vol_a3_per_atom": 28.15,
  "e_tot_ev_per_atom": -4.6498,
  "e_above_lowest_polymorph_mev_per_atom": 4.5
}